(1)
Density functional theory data (PBE) for a relaxed BaLi2S crystal.

a b c (Å): 4.844 4.844 9.459
angles (deg): 75.17 75.17 90.00
Fractional coordinates of all 8 atoms:
1 Ba 0.000 0.000 0.000
2 S 0.500 0.500 0.000
3 S 0.250 0.750 0.500
4 Li 0.875 0.626 0.750
5 Li 0.374 0.625 0.250
6 Ba 0.750 0.250 0.500
7 Li 0.375 0.624 0.750
8 Li 0.376 0.125 0.250

Results
Fermi-level density of states ... 5.88 states/eV/cell
Electronic total energy ... -3.080 eV per atom
Symmetry ... I-42d

(2)
Density functional theory data (PBE) for a relaxed Ba4Li2S crystal.

a b c (Å): 6.135 6.135 10.069
angles (deg): 107.74 107.74 90.00
Fractional coordinates of all 7 atoms:
1 S 0.000 0.000 0.000
2 Li 0.621 0.621 0.243
3 Li 0.379 0.379 0.757
4 Ba 0.820 0.820 0.641
5 Ba 0.500 0.000 0.000
6 Ba 0.180 0.180 0.359
7 Ba 0.000 0.500 0.000

Results
Fermi-level density of states ... 7.07 states/eV/cell
Electronic total energy ... -2.680 eV per atom
Symmetry ... I4/mmm

(3)
Density functional theory data (PBE) for a relaxed Ba2LiS crystal.

a b c (Å): 8.859 8.859 7.842
angles (deg): 55.61 55.61 90.00
Fractional coordinates of all 8 atoms:
1 S 0.000 0.000 0.000
2 Ba 0.064 0.625 0.250
3 Ba 0.875 0.936 0.750
4 Ba 0.686 0.125 0.250
5 S 0.750 0.250 0.500
6 Li 0.500 0.500 0.000
7 Li 0.250 0.750 0.500
8 Ba 0.375 0.314 0.750

Results
Fermi-level density of states ... 6.08 states/eV/cell
Electronic total energy ... -3.223 eV per atom
Symmetry ... I-42d

(4)
Density functional theory data (PBE) for a relaxed Ba2LiSbS4 crystal.

a b c (Å): 8.460 8.460 8.686
angles (deg): 120.88 120.88 88.95
Fractional coordinates of all 16 atoms:
1 Ba 0.500 0.000 0.000
2 S 0.763 0.737 0.525
3 Li 0.000 0.500 0.500
4 S 0.219 0.747 0.984
5 Sb 0.000 0.000 0.000
6 S 0.753 0.281 0.516
7 Ba 0.000 0.000 0.500
8 S 0.237 0.263 0.025
9 S 0.247 0.719 0.484
10 S 0.781 0.253 0.016
11 Li 0.000 0.500 0.000
12 Ba 0.500 0.000 0.500
13 S 0.237 0.263 0.475
14 Sb 0.500 0.500 0.500
15 Ba 0.500 0.500 0.000
16 S 0.763 0.737 0.975

Results
Electronic total energy ... -4.560 eV per atom
Symmetry ... Imma

> Look up the electronic total energy of the fourth one.

-4.560 eV per atom

What did the first record say?
Density functional theory data (PBE) for a relaxed BaLi2S crystal.

a b c (Å): 4.844 4.844 9.459
angles (deg): 75.17 75.17 90.00
Fractional coordinates of all 8 atoms:
1 Ba 0.000 0.000 0.000
2 S 0.500 0.500 0.000
3 S 0.250 0.750 0.500
4 Li 0.875 0.626 0.750
5 Li 0.374 0.625 0.250
6 Ba 0.750 0.250 0.500
7 Li 0.375 0.624 0.750
8 Li 0.376 0.125 0.250

Results
Fermi-level density of states ... 5.88 states/eV/cell
Electronic total energy ... -3.080 eV per atom
Symmetry ... I-42d

> What is the formula in the first record?

BaLi2S

Repeat the third record exactly.
Density functional theory data (PBE) for a relaxed Ba2LiS crystal.

a b c (Å): 8.859 8.859 7.842
angles (deg): 55.61 55.61 90.00
Fractional coordinates of all 8 atoms:
1 S 0.000 0.000 0.000
2 Ba 0.064 0.625 0.250
3 Ba 0.875 0.936 0.750
4 Ba 0.686 0.125 0.250
5 S 0.750 0.250 0.500
6 Li 0.500 0.500 0.000
7 Li 0.250 0.750 0.500
8 Ba 0.375 0.314 0.750

Results
Fermi-level density of states ... 6.08 states/eV/cell
Electronic total energy ... -3.223 eV per atom
Symmetry ... I-42d